Computed, not measured: a relaxed LiNiP2O7 crystal at the GGA+U level of DFT.

The space group is P2_1 (No. 4) and the conventional cell measures 4.9292, 8.3979 and 7.0973 Å, with angles of 90.00, 108.37 and 90.00 degrees. The distinct sites, in fractional coordinates, are Li at (0.1676, 0.0000, 0.1493), Ni at (0.2090, 0.3456, 0.2188), P at (0.2310, 0.0637, 0.5786), P at (0.3980, 0.6713, 0.0318), O at (0.0205, 0.5028, 0.3618), O at (0.1471, 0.1453, 0.3774), O at (0.1919, 0.8121, 0.9948), O at (0.2423, 0.5118, 0.0151), O at (0.3999, 0.1733, 0.0925), O at (0.4079, 0.1936, 0.7357) and O at (0.4190, 0.9166, 0.5782).

The value obtained for the offset from the most stable computed form is 0.00 kcal/mol of atoms. The calculated volume comes out at 279 Å³ per cell.